Entry 1:
VASP calculation (PBE-GGA) on a relaxed structure of Ti7Sn2C2.

a b c (Å): 5.6350 5.6350 5.9021
angles (deg): 90.00 90.00 104.41
Last column: nearest neighbours and their distance in Å.
Fractional coordinates of all 11 atoms:
Ti (0.0000, 0.0000, 0.0000)  2 C 2.40
Ti (0.0000, 0.5000, 0.2189)  2 C 2.16
Ti (0.0000, 0.5000, 0.7811)  2 C 2.16
Ti (0.5000, 0.0000, 0.2189)  2 C 2.16
Ti (0.5000, 0.0000, 0.7811)  2 C 2.16
Ti (0.5000, 0.5000, 0.2088)  2 C 2.39, 1 Ti 2.46
Ti (0.5000, 0.5000, 0.7912)  2 C 2.39, 1 Ti 2.46
Sn (0.1956, 0.1956, 0.5000)  1 Sn 2.70, 6 Ti 2.72-2.80
Sn (0.8044, 0.8044, 0.5000)  1 Sn 2.70, 6 Ti 2.72-2.80
C (0.2696, 0.7304, 0.0000)  7 Ti 2.16-2.40
C (0.7304, 0.2696, 0.0000)  7 Ti 2.16-2.40

Values from the calculation:
The formation energy comes out at -183.7 kJ/mol of formula units.

---

Entry 2:
VASP calculation (PBE-GGA) on a relaxed structure of GePb2Br6.

a b c (Å): 7.0289 7.0289 13.3520
angles (deg): 90.00 90.00 90.00
Last column: nearest neighbours and their distance in Å.
Fractional coordinates of all 18 atoms:
Ge (0.0000, 0.0000, 0.0000)  6 Br 2.83-2.85
Ge (0.5000, 0.5000, 0.5000)  6 Br 2.83-2.85
Pb (0.0000, 0.0000, 0.3343)  6 Br 3.05-3.06
Pb (0.0000, 0.0000, 0.6657)  6 Br 3.05-3.06
Pb (0.5000, 0.5000, 0.1657)  6 Br 3.05-3.06
Pb (0.5000, 0.5000, 0.8343)  6 Br 3.05-3.06
Br (0.1929, 0.1929, 0.1562)  1 Ge 2.83, 2 Pb 3.05-3.06
Br (0.1929, 0.1929, 0.8438)  1 Ge 2.83, 2 Pb 3.05-3.06
Br (0.2134, 0.2134, 0.5000)  1 Ge 2.85, 2 Pb 3.06
Br (0.2866, 0.7134, 0.0000)  1 Ge 2.85, 2 Pb 3.06
Br (0.3071, 0.6929, 0.3438)  1 Ge 2.83, 2 Pb 3.05-3.06
Br (0.3071, 0.6929, 0.6562)  1 Ge 2.83, 2 Pb 3.05-3.06
Br (0.6929, 0.3071, 0.3438)  1 Ge 2.83, 2 Pb 3.05-3.06
Br (0.6929, 0.3071, 0.6562)  1 Ge 2.83, 2 Pb 3.05-3.06
Br (0.7134, 0.2866, 0.0000)  1 Ge 2.85, 2 Pb 3.06
Br (0.7866, 0.7866, 0.5000)  1 Ge 2.85, 2 Pb 3.06
Br (0.8071, 0.8071, 0.1562)  1 Ge 2.83, 2 Pb 3.05-3.06
Br (0.8071, 0.8071, 0.8438)  1 Ge 2.83, 2 Pb 3.05-3.06

Values from the calculation:
The energy above the most stable polymorph in this dataset is 19 meV per atom. As for the uncorrected formation energy: -0.771 eV/atom.

---

Entry 3:
VASP calculation (PBE-GGA) on a relaxed structure of AcZn2CrN4.

a b c (Å): 5.2844 5.2844 5.2844
angles (deg): 118.27 118.27 93.03
Last column: nearest neighbours and their distance in Å.
Fractional coordinates of all 8 atoms:
Ac (0.0000, 0.0000, 0.0000)  4 N 2.61
Zn (0.2500, 0.7500, 0.5000)  4 N 2.11
Zn (0.7500, 0.2500, 0.5000)  4 N 2.11
Cr (0.5000, 0.5000, 0.0000)  4 N 1.80
N (0.1641, 0.1641, 0.6209)  1 Cr 1.80
N (0.4568, 0.8359, 0.0000)  1 Cr 1.80
N (0.5432, 0.5432, 0.3791)  1 Cr 1.80
N (0.8359, 0.4568, 0.0000)  1 Cr 1.80

Values from the calculation:
As for the uncorrected formation energy: -0.446 eV/atom.

---

Entry 4:
VASP calculation (PBE-GGA) on a relaxed structure of SrRuSCl2.

a b c (Å): 5.4174 5.4174 5.7946
angles (deg): 90.00 90.00 90.00
Last column: nearest neighbours and their distance in Å.
Fractional coordinates of all 5 atoms:
Sr (0.0000, 0.0000, 0.0000)  4 Cl 2.71, 2 S 2.90
Ru (0.5000, 0.5000, 0.5000)  4 S 3.83, 8 Cl 3.97
S (0.0000, 0.0000, 0.5000)  2 Sr 2.90
Cl (0.0000, 0.5000, 0.0000)  2 Sr 2.71
Cl (0.5000, 0.0000, 0.0000)  2 Sr 2.71

Values from the calculation:
The energy above the most stable polymorph in this dataset is 991 meV per atom. As for the uncorrected formation energy: 0.067 eV/atom.

---

Entry 5:
VASP calculation (PBE-GGA) on a relaxed structure of V5P12Pb3.

a b c (Å): 13.0370 13.0370 13.0370
angles (deg): 109.47 109.47 109.47
Last column: nearest neighbours and their distance in Å.
Fractional coordinates of all 80 atoms:
V (0.0000, 0.0000, 0.0000)  6 P 2.43
V (0.0000, 0.0000, 0.5000)  6 P 2.43
V (0.0000, 0.5000, 0.0000)  6 P 2.43
V (0.0000, 0.5000, 0.5000)  6 P 2.43
V (0.1250, 0.7500, 0.8750)  4 P 2.30
V (0.1250, 0.8750, 0.2500)  4 P 2.30
V (0.2500, 0.1250, 0.8750)  4 P 2.30
V (0.2500, 0.6250, 0.3750)  4 P 2.30
V (0.3750, 0.2500, 0.6250)  4 P 2.30
V (0.3750, 0.6250, 0.7500)  4 P 2.30
V (0.5000, 0.0000, 0.0000)  6 P 2.43
V (0.5000, 0.0000, 0.5000)  6 P 2.43
V (0.5000, 0.5000, 0.0000)  6 P 2.43
V (0.5000, 0.5000, 0.5000)  6 P 2.43
V (0.6250, 0.3750, 0.2500)  4 P 2.30
V (0.6250, 0.7500, 0.3750)  4 P 2.30
V (0.7500, 0.3750, 0.6250)  4 P 2.30
V (0.7500, 0.8750, 0.1250)  4 P 2.30
V (0.8750, 0.1250, 0.7500)  4 P 2.30
V (0.8750, 0.2500, 0.1250)  4 P 2.30
P (0.0011, 0.1983, 0.0562)  2 V 2.30-2.43, 1 P 2.30
P (0.0011, 0.3028, 0.9449)  2 V 2.30-2.43, 1 P 2.30
P (0.0551, 0.5562, 0.3579)  2 V 2.30-2.43, 1 P 2.30
P (0.0551, 0.9989, 0.6972)  2 V 2.30-2.43, 1 P 2.30
P (0.0562, 0.0011, 0.1983)  2 V 2.30-2.43, 1 P 2.30
P (0.0562, 0.5551, 0.8579)  2 V 2.30-2.43, 1 P 2.30
P (0.1421, 0.6983, 0.6972)  2 V 2.30-2.43, 1 P 2.30
P (0.1421, 0.9438, 0.4449)  2 V 2.30-2.43, 1 P 2.30
P (0.1972, 0.1983, 0.6421)  2 V 2.30-2.43, 1 P 2.30
P (0.1972, 0.4989, 0.5551)  2 V 2.30-2.43, 1 P 2.30
P (0.1983, 0.0562, 0.0011)  2 V 2.30-2.43, 1 P 2.30
P (0.1983, 0.6421, 0.1972)  2 V 2.30-2.43, 1 P 2.30
P (0.3017, 0.3028, 0.8579)  2 V 2.30-2.43, 1 P 2.30
P (0.3017, 0.4989, 0.4438)  2 V 2.30-2.43, 1 P 2.30
P (0.3028, 0.8579, 0.3017)  2 V 2.30-2.43, 1 P 2.30
P (0.3028, 0.9449, 0.0011)  2 V 2.30-2.43, 1 P 2.30
P (0.3579, 0.0551, 0.5562)  2 V 2.30-2.43, 1 P 2.30
P (0.3579, 0.8028, 0.8017)  2 V 2.30-2.43, 1 P 2.30
P (0.4438, 0.3017, 0.4989)  2 V 2.30-2.43, 1 P 2.30
P (0.4438, 0.6421, 0.9449)  2 V 2.30-2.43, 1 P 2.30
P (0.4449, 0.1421, 0.9438)  2 V 2.30-2.43, 1 P 2.30
P (0.4449, 0.8028, 0.5011)  2 V 2.30-2.43, 1 P 2.30
P (0.4989, 0.4438, 0.3017)  2 V 2.30-2.43, 1 P 2.30
P (0.4989, 0.5551, 0.1972)  2 V 2.30-2.43, 1 P 2.30
P (0.5011, 0.4449, 0.8028)  2 V 2.30-2.43, 1 P 2.30
P (0.5011, 0.5562, 0.6983)  2 V 2.30-2.43, 1 P 2.30
P (0.5551, 0.1972, 0.4989)  2 V 2.30-2.43, 1 P 2.30
P (0.5551, 0.8579, 0.0562)  2 V 2.30-2.43, 1 P 2.30
P (0.5562, 0.3579, 0.0551)  2 V 2.30-2.43, 1 P 2.30
P (0.5562, 0.6983, 0.5011)  2 V 2.30-2.43, 1 P 2.30
P (0.6421, 0.1972, 0.1983)  2 V 2.30-2.43, 1 P 2.30
P (0.6421, 0.9449, 0.4438)  2 V 2.30-2.43, 1 P 2.30
P (0.6972, 0.0551, 0.9989)  2 V 2.30-2.43, 1 P 2.30
P (0.6972, 0.1421, 0.6983)  2 V 2.30-2.43, 1 P 2.30
P (0.6983, 0.5011, 0.5562)  2 V 2.30-2.43, 1 P 2.30
P (0.6983, 0.6972, 0.1421)  2 V 2.30-2.43, 1 P 2.30
P (0.8017, 0.3579, 0.8028)  2 V 2.30-2.43, 1 P 2.30
P (0.8017, 0.9438, 0.9989)  2 V 2.30-2.43, 1 P 2.30
P (0.8028, 0.5011, 0.4449)  2 V 2.30-2.43, 1 P 2.30
P (0.8028, 0.8017, 0.3579)  2 V 2.30-2.43, 1 P 2.30
P (0.8579, 0.0562, 0.5551)  2 V 2.30-2.43, 1 P 2.30
P (0.8579, 0.3017, 0.3028)  2 V 2.30-2.43, 1 P 2.30
P (0.9438, 0.4449, 0.1421)  2 V 2.30-2.43, 1 P 2.30
P (0.9438, 0.9989, 0.8017)  2 V 2.30-2.43, 1 P 2.30
P (0.9449, 0.0011, 0.3028)  2 V 2.30-2.43, 1 P 2.30
P (0.9449, 0.4438, 0.6421)  2 V 2.30-2.43, 1 P 2.30
P (0.9989, 0.6972, 0.0551)  2 V 2.30-2.43, 1 P 2.30
P (0.9989, 0.8017, 0.9438)  2 V 2.30-2.43, 1 P 2.30
Pb (0.1250, 0.2500, 0.3750)  4 P 2.89
Pb (0.1250, 0.3750, 0.7500)  4 P 2.89
Pb (0.2500, 0.3750, 0.1250)  4 P 2.89
Pb (0.2500, 0.8750, 0.6250)  4 P 2.89
Pb (0.3750, 0.1250, 0.2500)  4 P 2.89
Pb (0.3750, 0.7500, 0.1250)  4 P 2.89
Pb (0.6250, 0.2500, 0.8750)  4 P 2.89
Pb (0.6250, 0.8750, 0.7500)  4 P 2.89
Pb (0.7500, 0.1250, 0.3750)  4 P 2.89
Pb (0.7500, 0.6250, 0.8750)  4 P 2.89
Pb (0.8750, 0.6250, 0.2500)  4 P 2.89
Pb (0.8750, 0.7500, 0.6250)  4 P 2.89

Values from the calculation:
The formation energy comes out at 218.6 kJ/mol of formula units.

---

Entry 6:
VASP calculation (PBE-GGA) on a relaxed structure of Sc4CoRu3.

a b c (Å): 7.1283 7.1283 7.1283
angles (deg): 143.09 143.09 53.19
Last column: nearest neighbours and their distance in Å.
Fractional coordinates of all 8 atoms:
Sc (0.1243, 0.6243, 0.5000)  2 Co 2.76, 6 Ru 2.76-2.78
Sc (0.3757, 0.8757, 0.5000)  2 Co 2.76, 6 Ru 2.76-2.78
Sc (0.6243, 0.1243, 0.5000)  2 Co 2.76, 6 Ru 2.76-2.78
Sc (0.8757, 0.3757, 0.5000)  2 Co 2.76, 6 Ru 2.76-2.78
Co (0.0000, 0.0000, 0.0000)  8 Sc 2.76
Ru (0.2489, 0.2489, 0.0000)  8 Sc 2.76-2.78
Ru (0.5000, 0.5000, 0.0000)  8 Sc 2.76
Ru (0.7511, 0.7511, 0.0000)  8 Sc 2.76-2.78

Values from the calculation:
The formation energy comes out at -386.7 kJ/mol of formula units.

---

Computed values of energy (unit: eV for the cell shown) for the preceding records, in sequence: -83.62 -58.01 -53.15 -18.44 -477.49 -64.27.
Computed values of total magnetization (unit: μB per cell) for the preceding records, in sequence: 0.0 0.0 1.0 4.0 17.2 0.0.